The following is a DFT calculation (GGA-PBE) of a geometry-optimized TlP2OsO structure.

Summary:
formation energy without anion corrections = 42.13 kcal/mol of atoms
total magnetic moment = 2.4 μB/f.u.
total DFT energy (no corrections) = -4.05 eV/atom
polymorph energy (0 for the lowest one) = 1700 meV/atom
volume = 102 Å³ per cell

a b c (Å): 5.067 5.067 3.985
angles (deg): 90.00 90.00 90.00
Each line ends with the local moment (μB).
Element x y z (fractional)
O (0.000, 0.000, 0.500)  0.09
Tl (0.000, 0.000, 0.000)  0.01
P (0.000, 0.500, 0.000)  -0.07
P (0.500, 0.000, 0.000)  -0.07
Os (0.500, 0.500, 0.500)  2.33

The following is a DFT calculation (GGA-PBE) of a geometry-optimized AcErTe3 structure.

Summary:
formation energy without anion corrections = -34.70 kcal/mol of atoms
total magnetic moment = 0.0 μB/f.u.
total DFT energy (no corrections) = -5.12 eV/atom
polymorph energy (0 for the lowest one) = 0 meV/atom
volume = 351 Å³ per cell

a b c (Å): 4.453 7.495 11.021
angles (deg): 90.00 90.00 107.28
Element x y z (fractional)
Te (0.357, 0.714, 0.943)
Te (0.079, 0.157, 0.750)
Te (0.357, 0.714, 0.557)
Te (0.643, 0.286, 0.443)
Te (0.921, 0.843, 0.250)
Te (0.643, 0.286, 0.057)
Er (0.000, 0.000, 0.500)
Er (0.000, 0.000, 0.000)
Ac (0.749, 0.498, 0.750)
Ac (0.251, 0.502, 0.250)